Record 1
Here is a relaxed structure of Ba3ZnOs2O9 from OQMD. Energies are from PBE.

Properties
Symmetry ... P6_3/mmc
Total magnetic moment ... 8.0 μB per cell
Raw total energy ... -0.249 hartree per atom

a = 5.801 Å, b = 5.801 Å, c = 14.086 Å
α = 90.00°, β = 90.00°, γ = 120.00°
Sites, in units of the cell vectors:
Ba (0.000, 0.000, 0.250)
Ba (0.000, 0.000, 0.750)
Ba (0.333, 0.667, 0.088)
Ba (0.333, 0.667, 0.412)
Ba (0.667, 0.333, 0.588)
Ba (0.667, 0.333, 0.912)
Zn (0.000, 0.000, 0.000)
Zn (0.000, 0.000, 0.500)
Os (0.333, 0.667, 0.661)
Os (0.333, 0.667, 0.839)
Os (0.667, 0.333, 0.161)
Os (0.667, 0.333, 0.339)
O (0.009, 0.504, 0.750)
O (0.173, 0.345, 0.585)
O (0.173, 0.345, 0.915)
O (0.173, 0.827, 0.585)
O (0.173, 0.827, 0.915)
O (0.345, 0.173, 0.085)
O (0.345, 0.173, 0.415)
O (0.496, 0.504, 0.750)
O (0.496, 0.991, 0.750)
O (0.504, 0.009, 0.250)
O (0.504, 0.496, 0.250)
O (0.655, 0.827, 0.585)
O (0.655, 0.827, 0.915)
O (0.827, 0.173, 0.085)
O (0.827, 0.173, 0.415)
O (0.827, 0.655, 0.085)
O (0.827, 0.655, 0.415)
O (0.991, 0.496, 0.250)

***

Record 2
Here is a relaxed structure of Ba2ZnOsO6 from OQMD. Energies are from PBE.

Properties
Symmetry ... Fm-3m
Total magnetic moment ... 2.0 μB per cell
Raw total energy ... -0.238 hartree per atom

a = 5.734 Å, b = 5.734 Å, c = 5.734 Å
α = 60.00°, β = 60.00°, γ = 60.00°
Sites, in units of the cell vectors:
Ba (0.250, 0.250, 0.250)
Ba (0.750, 0.750, 0.750)
Zn (0.000, 0.000, 0.000)
Os (0.500, 0.500, 0.500)
O (0.260, 0.260, 0.740)
O (0.260, 0.740, 0.260)
O (0.260, 0.740, 0.740)
O (0.740, 0.260, 0.260)
O (0.740, 0.260, 0.740)
O (0.740, 0.740, 0.260)

***

Record 3
Here is a relaxed structure of BaP2PdO8 from OQMD. Energies are from PBE.

Properties
Symmetry ... C2/m
Raw total energy ... -0.248 hartree per atom

a = 4.750 Å, b = 4.750 Å, c = 7.730 Å
α = 94.57°, β = 94.57°, γ = 66.88°
Sites, in units of the cell vectors:
Ba (0.000, 0.000, 0.000)
P (0.376, 0.376, 0.700)
P (0.624, 0.624, 0.300)
Pd (0.000, 0.000, 0.500)
O (0.251, 0.251, 0.536)
O (0.251, 0.736, 0.693)
O (0.264, 0.749, 0.307)
O (0.315, 0.315, 0.881)
O (0.685, 0.685, 0.119)
O (0.736, 0.251, 0.693)
O (0.749, 0.264, 0.307)
O (0.749, 0.749, 0.464)

***

Record 4
Here is a relaxed structure of BaP2Pd2O8 from OQMD. Energies are from PBE.

Properties
Symmetry ... R-3
Raw total energy ... -0.239 hartree per atom

a = 8.182 Å, b = 8.182 Å, c = 8.182 Å
α = 35.30°, β = 35.30°, γ = 35.30°
Sites, in units of the cell vectors:
Ba (0.000, 0.000, 0.000)
P (0.418, 0.418, 0.418)
P (0.582, 0.582, 0.582)
Pd (0.172, 0.172, 0.172)
Pd (0.828, 0.828, 0.828)
O (0.149, 0.747, 0.424)
O (0.253, 0.576, 0.851)
O (0.352, 0.352, 0.352)
O (0.424, 0.149, 0.747)
O (0.576, 0.851, 0.253)
O (0.648, 0.648, 0.648)
O (0.747, 0.424, 0.149)
O (0.851, 0.253, 0.576)

***

Record 5
Here is a relaxed structure of BaPmPO from OQMD. Energies are from PBE.

Properties
Symmetry ... Pmc2_1
Total magnetic moment ... 0.0 μB per cell
Raw total energy ... -0.224 hartree per atom
E above lowest polymorph ... 135 meV per atom

a = 4.180 Å, b = 6.967 Å, c = 7.466 Å
α = 90.00°, β = 90.00°, γ = 90.00°
Sites, in units of the cell vectors:
Ba (0.000, 0.058, 0.000)
Ba (0.000, 0.942, 0.500)
Pm (0.500, 0.384, 0.363)
Pm (0.500, 0.616, 0.863)
P (0.500, 0.244, 0.723)
P (0.500, 0.756, 0.223)
O (0.000, 0.267, 0.292)
O (0.000, 0.733, 0.792)

***

Record 6
Here is a relaxed structure of BaPmPO from OQMD. Energies are from PBE.

Properties
Symmetry ... P4/nmm
Total magnetic moment ... 0.3 μB per cell
Raw total energy ... -0.211 hartree per atom
E above lowest polymorph ... 500 meV per atom

a = 5.039 Å, b = 5.039 Å, c = 9.542 Å
α = 90.00°, β = 90.00°, γ = 90.00°
Sites, in units of the cell vectors:
Ba (0.250, 0.250, 0.085)
Ba (0.750, 0.750, 0.915)
Pm (0.250, 0.750, 0.500)
Pm (0.750, 0.250, 0.500)
P (0.250, 0.250, 0.627)
P (0.750, 0.750, 0.373)
O (0.250, 0.750, 0.000)
O (0.750, 0.250, 0.000)

***

Record 7
Here is a relaxed structure of BaPmPO from OQMD. Energies are from PBE.

Properties
Symmetry ... P4/nmm
Total magnetic moment ... 0.0 μB per cell
Raw total energy ... -0.213 hartree per atom
E above lowest polymorph ... 427 meV per atom

a = 4.524 Å, b = 4.524 Å, c = 9.438 Å
α = 90.00°, β = 90.00°, γ = 90.00°
Sites, in units of the cell vectors:
Ba (0.250, 0.750, 0.000)
Ba (0.750, 0.250, 0.000)
Pm (0.250, 0.250, 0.413)
Pm (0.750, 0.750, 0.587)
P (0.250, 0.250, 0.777)
P (0.750, 0.750, 0.223)
O (0.250, 0.750, 0.500)
O (0.750, 0.250, 0.500)

***

Record 8
Here is a relaxed structure of BaPmPO from OQMD. Energies are from PBE.

Properties
Symmetry ... Pmc2_1
Total magnetic moment ... 0.0 μB per cell
Raw total energy ... -0.229 hartree per atom
E above lowest polymorph ... 0 meV per atom

a = 4.650 Å, b = 7.683 Å, c = 6.721 Å
α = 90.00°, β = 90.00°, γ = 90.00°
Sites, in units of the cell vectors:
Ba (0.000, 0.197, 0.000)
Ba (0.000, 0.803, 0.500)
Pm (0.500, 0.380, 0.581)
Pm (0.500, 0.620, 0.081)
P (0.000, 0.213, 0.476)
P (0.000, 0.787, 0.976)
O (0.500, 0.364, 0.918)
O (0.500, 0.636, 0.418)

***

Record 9
Here is a relaxed structure of BaPmPO from OQMD. Energies are from PBE.

Properties
Symmetry ... P4/nmm
Total magnetic moment ... 0.0 μB per cell
Raw total energy ... -0.222 hartree per atom
E above lowest polymorph ... 186 meV per atom

a = 5.656 Å, b = 5.656 Å, c = 6.111 Å
α = 90.00°, β = 90.00°, γ = 90.00°
Sites, in units of the cell vectors:
Ba (0.250, 0.250, 0.004)
Ba (0.750, 0.750, 0.996)
Pm (0.250, 0.750, 0.500)
Pm (0.750, 0.250, 0.500)
P (0.250, 0.250, 0.506)
P (0.750, 0.750, 0.494)
O (0.250, 0.750, 0.000)
O (0.750, 0.250, 0.000)

***

Record 10
Here is a relaxed structure of BaPrPO from OQMD. Energies are from PBE.

Properties
Symmetry ... P4/nmm
Total magnetic moment ... 0.4 μB per cell
Raw total energy ... -0.209 hartree per atom
E above lowest polymorph ... 497 meV per atom

a = 5.037 Å, b = 5.037 Å, c = 9.995 Å
α = 90.00°, β = 90.00°, γ = 90.00°
Sites, in units of the cell vectors:
Ba (0.250, 0.250, 0.083)
Ba (0.750, 0.750, 0.917)
Pr (0.250, 0.750, 0.500)
Pr (0.750, 0.250, 0.500)
P (0.250, 0.250, 0.632)
P (0.750, 0.750, 0.368)
O (0.250, 0.750, 0.000)
O (0.750, 0.250, 0.000)

***

Record 11
Here is a relaxed structure of BaPrPO from OQMD. Energies are from PBE.

Properties
Symmetry ... P4/nmm
Total magnetic moment ... 0.0 μB per cell
Raw total energy ... -0.214 hartree per atom
E above lowest polymorph ... 376 meV per atom

a = 4.554 Å, b = 4.554 Å, c = 9.539 Å
α = 90.00°, β = 90.00°, γ = 90.00°
Sites, in units of the cell vectors:
Ba (0.250, 0.750, 0.000)
Ba (0.750, 0.250, 0.000)
Pr (0.250, 0.250, 0.406)
Pr (0.750, 0.750, 0.594)
P (0.250, 0.250, 0.780)
P (0.750, 0.750, 0.220)
O (0.250, 0.750, 0.500)
O (0.750, 0.250, 0.500)

***

Record 12
Here is a relaxed structure of BaPrPO from OQMD. Energies are from PBE.

Properties
Symmetry ... Pmc2_1
Total magnetic moment ... 0.0 μB per cell
Raw total energy ... -0.223 hartree per atom
E above lowest polymorph ... 111 meV per atom

a = 4.243 Å, b = 7.023 Å, c = 7.498 Å
α = 90.00°, β = 90.00°, γ = 90.00°
Sites, in units of the cell vectors:
Ba (0.000, 0.060, 0.000)
Ba (0.000, 0.940, 0.500)
Pr (0.500, 0.381, 0.366)
Pr (0.500, 0.619, 0.866)
P (0.500, 0.241, 0.728)
P (0.500, 0.759, 0.228)
O (0.000, 0.265, 0.292)
O (0.000, 0.735, 0.792)

***

Record 13
Here is a relaxed structure of BaPrPO from OQMD. Energies are from PBE.

Properties
Symmetry ... P4/nmm
Total magnetic moment ... 0.0 μB per cell
Raw total energy ... -0.222 hartree per atom
E above lowest polymorph ... 158 meV per atom

a = 5.723 Å, b = 5.723 Å, c = 6.139 Å
α = 90.00°, β = 90.00°, γ = 90.00°
Sites, in units of the cell vectors:
Ba (0.250, 0.250, 0.001)
Ba (0.750, 0.750, 0.999)
Pr (0.250, 0.750, 0.500)
Pr (0.750, 0.250, 0.500)
P (0.250, 0.250, 0.502)
P (0.750, 0.750, 0.498)
O (0.250, 0.750, 0.000)
O (0.750, 0.250, 0.000)

***

Record 14
Here is a relaxed structure of BaPrPO from OQMD. Energies are from PBE.

Properties
Symmetry ... Pmc2_1
Total magnetic moment ... 0.0 μB per cell
Raw total energy ... -0.228 hartree per atom
E above lowest polymorph ... 0 meV per atom

a = 4.655 Å, b = 7.751 Å, c = 6.803 Å
α = 90.00°, β = 90.00°, γ = 90.00°
Sites, in units of the cell vectors:
Ba (0.000, 0.191, 0.000)
Ba (0.000, 0.809, 0.500)
Pr (0.500, 0.382, 0.581)
Pr (0.500, 0.618, 0.081)
P (0.000, 0.214, 0.469)
P (0.000, 0.786, 0.969)
O (0.500, 0.358, 0.919)
O (0.500, 0.642, 0.419)

***

Record 15
Here is a relaxed structure of BaPPtO from OQMD. Energies are from PBE.

Properties
Symmetry ... Pmc2_1
Total magnetic moment ... 0.0 μB per cell
Raw total energy ... -0.211 hartree per atom
E above lowest polymorph ... 104 meV per atom

a = 3.427 Å, b = 8.411 Å, c = 5.734 Å
α = 90.00°, β = 90.00°, γ = 90.00°
Sites, in units of the cell vectors:
Ba (0.000, 0.144, 0.000)
Ba (0.000, 0.856, 0.500)
P (0.000, 0.460, 0.579)
P (0.000, 0.540, 0.079)
Pt (0.500, 0.286, 0.504)
Pt (0.500, 0.714, 0.004)
O (0.500, 0.071, 0.329)
O (0.500, 0.929, 0.829)

***

Record 16
Here is a relaxed structure of BaPPtO from OQMD. Energies are from PBE.

Properties
Symmetry ... P4/mmm
Total magnetic moment ... 0.0 μB per cell
Raw total energy ... -0.190 hartree per atom
E above lowest polymorph ... 667 meV per atom

a = 4.867 Å, b = 4.867 Å, c = 4.452 Å
α = 90.00°, β = 90.00°, γ = 90.00°
Sites, in units of the cell vectors:
Ba (0.000, 0.000, 0.000)
P (0.500, 0.500, 0.500)
Pt (0.500, 0.500, 0.000)
O (0.000, 0.000, 0.500)

***

Record 17
Here is a relaxed structure of BaPPtO from OQMD. Energies are from PBE.

Properties
Symmetry ... Pmc2_1
Total magnetic moment ... 0.0 μB per cell
Raw total energy ... -0.204 hartree per atom
E above lowest polymorph ... 292 meV per atom

a = 4.034 Å, b = 5.208 Å, c = 7.839 Å
α = 90.00°, β = 90.00°, γ = 90.00°
Sites, in units of the cell vectors:
Ba (0.000, 0.167, 0.000)
Ba (0.000, 0.833, 0.500)
P (0.500, 0.306, 0.649)
P (0.500, 0.694, 0.149)
Pt (0.500, 0.367, 0.352)
Pt (0.500, 0.633, 0.852)
O (0.000, 0.274, 0.328)
O (0.000, 0.726, 0.828)

***

Record 18
Here is a relaxed structure of BaPPtO from OQMD. Energies are from PBE.

Properties
Symmetry ... P4/nmm
Total magnetic moment ... 0.0 μB per cell
Raw total energy ... -0.214 hartree per atom
E above lowest polymorph ... 0 meV per atom

a = 4.358 Å, b = 4.358 Å, c = 9.466 Å
α = 90.00°, β = 90.00°, γ = 90.00°
Sites, in units of the cell vectors:
Ba (0.250, 0.250, 0.136)
Ba (0.750, 0.750, 0.864)
P (0.250, 0.250, 0.610)
P (0.750, 0.750, 0.390)
Pt (0.250, 0.750, 0.500)
Pt (0.750, 0.250, 0.500)
O (0.250, 0.750, 0.000)
O (0.750, 0.250, 0.000)

***

Record 19
Here is a relaxed structure of BaTaPO from OQMD. Energies are from PBE.

Properties
Symmetry ... P4/nmm
Total magnetic moment ... 0.0 μB per cell
Raw total energy ... -0.244 hartree per atom
E above lowest polymorph ... 718 meV per atom

a = 4.380 Å, b = 4.380 Å, c = 9.516 Å
α = 90.00°, β = 90.00°, γ = 90.00°
Sites, in units of the cell vectors:
Ba (0.250, 0.750, 0.000)
Ba (0.750, 0.250, 0.000)
Ta (0.250, 0.250, 0.478)
Ta (0.750, 0.750, 0.522)
P (0.250, 0.250, 0.238)
P (0.750, 0.750, 0.762)
O (0.250, 0.750, 0.500)
O (0.750, 0.250, 0.500)

***

Record 20
Here is a relaxed structure of BaTaPO from OQMD. Energies are from PBE.

Properties
Symmetry ... Pmc2_1
Total magnetic moment ... 0.1 μB per cell
Raw total energy ... -0.270 hartree per atom
E above lowest polymorph ... 0 meV per atom

a = 3.899 Å, b = 6.798 Å, c = 6.881 Å
α = 90.00°, β = 90.00°, γ = 90.00°
Sites, in units of the cell vectors:
Ba (0.000, 0.215, 0.000)
Ba (0.000, 0.785, 0.500)
Ta (0.500, 0.260, 0.487)
Ta (0.500, 0.740, 0.987)
P (0.500, 0.494, 0.743)
P (0.500, 0.506, 0.243)
O (0.000, 0.188, 0.481)
O (0.000, 0.812, 0.981)

***

Record 21
Here is a relaxed structure of BaTaPO from OQMD. Energies are from PBE.

Properties
Symmetry ... P4/nmm
Total magnetic moment ... 0.2 μB per cell
Raw total energy ... -0.266 hartree per atom
E above lowest polymorph ... 130 meV per atom

a = 4.258 Å, b = 4.258 Å, c = 10.396 Å
α = 90.00°, β = 90.00°, γ = 90.00°
Sites, in units of the cell vectors:
Ba (0.250, 0.250, 0.127)
Ba (0.750, 0.750, 0.873)
Ta (0.250, 0.750, 0.500)
Ta (0.750, 0.250, 0.500)
P (0.250, 0.250, 0.627)
P (0.750, 0.750, 0.373)
O (0.250, 0.750, 0.000)
O (0.750, 0.250, 0.000)

***

Record 22
Here is a relaxed structure of BaTaPO from OQMD. Energies are from PBE.

Properties
Symmetry ... Pmc2_1
Total magnetic moment ... 0.0 μB per cell
Raw total energy ... -0.270 hartree per atom
E above lowest polymorph ... 10 meV per atom

a = 4.267 Å, b = 7.254 Å, c = 6.399 Å
α = 90.00°, β = 90.00°, γ = 90.00°
Sites, in units of the cell vectors:
Ba (0.000, 0.199, 0.000)
Ba (0.000, 0.801, 0.500)
Ta (0.500, 0.400, 0.554)
Ta (0.500, 0.600, 0.054)
P (0.000, 0.246, 0.493)
P (0.000, 0.754, 0.993)
O (0.500, 0.384, 0.865)
O (0.500, 0.616, 0.365)

***

Record 23
Here is a relaxed structure of BaTcP2O8 from OQMD. Energies are from PBE.

Properties
Symmetry ... C2/m
Total magnetic moment ... 3.0 μB per cell
Raw total energy ... -0.275 hartree per atom

a = 4.879 Å, b = 4.879 Å, c = 7.763 Å
α = 93.54°, β = 93.54°, γ = 65.07°
Sites, in units of the cell vectors:
Ba (0.000, 0.000, 0.000)
Tc (0.000, 0.000, 0.500)
P (0.369, 0.369, 0.709)
P (0.631, 0.631, 0.291)
O (0.238, 0.238, 0.558)
O (0.239, 0.720, 0.689)
O (0.280, 0.761, 0.311)
O (0.313, 0.313, 0.891)
O (0.687, 0.687, 0.109)
O (0.720, 0.239, 0.689)
O (0.761, 0.280, 0.311)
O (0.762, 0.762, 0.442)